Run i
Pm3Ir2: optimized geometry, GGA-PBE.

a b c (Å): 17.6491 4.3853 10.6974
angles (deg): 90.00 96.93 90.00
Space group C2/m (No. 12)
Asymmetric unit:
Pm: 0.0000 0.0000 0.0000 (multiplicity 2)
Pm: 0.0351 0.0000 0.6607 (multiplicity 4)
Pm: 0.1251 0.5000 0.2835 (multiplicity 4)
Pm: 0.1739 0.5000 0.9603 (multiplicity 4)
Pm: 0.2064 0.5000 0.6206 (multiplicity 4)
Ir: 0.0293 0.5000 0.8252 (multiplicity 4)
Ir: 0.1389 0.0000 0.4677 (multiplicity 4)
Ir: 0.1784 0.0000 0.1372 (multiplicity 4)

Values from the calculation:
* calculated density: 9.93 g cm⁻³
* magnetic moment: 0.000 Bohr magnetons per cell

***

Run ii
Pm3Ir2: optimized geometry, GGA-PBE.

a b c (Å): 7.1120 7.1120 19.2910
angles (deg): 90.00 90.00 120.00
Space group R-3c (No. 167, hexagonal axes)
Asymmetric unit:
Pm: 0.0000 0.3439 0.2500 (multiplicity 18)
Ir: 0.0000 0.0000 0.1717 (multiplicity 12)

Values from the calculation:
* calculated density: 9.66 g cm⁻³
* magnetic moment: 0.000 Bohr magnetons per cell

***

Run iii
Pm3Ir2: optimized geometry, GGA-PBE.

a b c (Å): 7.7387 4.1921 15.8942
angles (deg): 90.00 90.00 90.00
Space group Pnma (No. 62)
Asymmetric unit:
Pm: 0.0229 0.2500 0.1056 (multiplicity 4)
Pm: 0.1342 0.7500 0.4365 (multiplicity 4)
Pm: 0.1587 0.2500 0.7212 (multiplicity 4)
Ir: 0.1401 0.2500 0.2984 (multiplicity 4)
Ir: 0.2391 0.7500 0.0423 (multiplicity 4)

Values from the calculation:
* calculated density: 10.56 g cm⁻³
* magnetic moment: 0.000 Bohr magnetons per cell

***

Question: which arrangement is favored energetically? Ranking from most to least stable: run iii, run i, run ii.

***

Run i
Pm4Ir: optimized geometry, GGA-PBE.

a b c (Å): 5.5906 5.5906 5.5906
angles (deg): 90.00 90.00 90.00
Space group Pm-3m (No. 221)
Asymmetric unit:
Pm: 0.0000 0.0000 0.0000 (multiplicity 1)
Pm: 0.0000 0.5000 0.5000 (multiplicity 3)
Ir: 0.5000 0.5000 0.5000 (multiplicity 1)

Values from the calculation:
* calculated density: 7.34 g cm⁻³
* magnetic moment: 0.686 Bohr magnetons per cell

***

Run ii
Pm4Ir: optimized geometry, GGA-PBE.

a b c (Å): 8.7860 8.7860 8.3619
angles (deg): 90.00 90.00 90.00
Space group I-42d (No. 122)
Asymmetric unit:
Pm: 0.0006 0.6973 0.4182 (multiplicity 16)
Ir: 0.0000 0.0000 0.5000 (multiplicity 4)

Values from the calculation:
* calculated density: 7.95 g cm⁻³
* magnetic moment: 0.010 Bohr magnetons per cell

***

Question: which arrangement is favored energetically? Ranking from most to least stable: run ii, run i.

***

Run i
Pm2Ir: optimized geometry, GGA-PBE.

a b c (Å): 3.5593 3.5593 13.2941
angles (deg): 90.00 90.00 90.00
Space group I4/mmm (No. 139)
Asymmetric unit:
Pm: 0.0000 0.0000 0.1244 (multiplicity 4)
Ir: 0.0000 0.0000 0.5000 (multiplicity 2)

Values from the calculation:
* calculated density: 9.51 g cm⁻³
* magnetic moment: 0.000 Bohr magnetons per cell

***

Run ii
Pm2Ir: optimized geometry, GGA-PBE.

a b c (Å): 6.9635 6.9635 6.9635
angles (deg): 90.00 90.00 90.00
Space group Fm-3m (No. 225)
Asymmetric unit:
Pm: 0.2500 0.2500 0.2500 (multiplicity 8)
Ir: 0.0000 0.0000 0.0000 (multiplicity 4)

Values from the calculation:
* calculated density: 9.49 g cm⁻³
* magnetic moment: 0.000 Bohr magnetons per cell

***

Question: which arrangement is favored energetically? Ranking from most to least stable: run ii, run i.

***

Run i
Pm2PrIr2: optimized geometry, GGA-PBE.

a b c (Å): 4.9588 4.9853 10.5869
angles (deg): 90.00 90.05 90.00
Space group P2_1/m (No. 11)
Asymmetric unit:
Pm: 0.2494 0.2500 0.3369 (multiplicity 2)
Pm: 0.2499 0.2500 0.0019 (multiplicity 2)
Pr: 0.2508 0.2500 0.6690 (multiplicity 2)
Ir: 0.2496 0.7500 0.4880 (multiplicity 2)
Ir: 0.2502 0.7500 0.8429 (multiplicity 2)

Values from the calculation:
* calculated density: 10.35 g cm⁻³
* magnetic moment: 0.000 Bohr magnetons per cell

***

Run ii
Pm2PrIr2: optimized geometry, GGA-PBE.

a b c (Å): 4.0354 17.3059 7.6294
angles (deg): 90.00 90.00 90.00
Space group Cmc2_1 (No. 36)
Asymmetric unit:
Pm: 0.0000 0.0317 0.0000 (multiplicity 4)
Pm: 0.0000 0.1865 0.2763 (multiplicity 4)
Pr: 0.0000 0.3764 0.1682 (multiplicity 4)
Ir: 0.0000 0.1961 0.8830 (multiplicity 4)
Ir: 0.0000 0.4494 0.7999 (multiplicity 4)

Values from the calculation:
* calculated density: 10.16 g cm⁻³
* magnetic moment: 0.000 Bohr magnetons per cell

***

Question: which arrangement is favored energetically? Ranking from most to least stable: run i, run ii.

***

Run i
PmPr2Ir2: optimized geometry, GGA-PBE.

a b c (Å): 4.2939 6.4478 9.3723
angles (deg): 90.00 90.00 90.00
Space group Immm (No. 71)
Asymmetric unit:
Pm: 0.0000 0.0000 0.0000 (multiplicity 2)
Pr: 0.0000 0.5000 0.1977 (multiplicity 4)
Ir: 0.0000 0.2063 0.5000 (multiplicity 4)

Values from the calculation:
* calculated density: 10.38 g cm⁻³
* magnetic moment: 0.000 Bohr magnetons per cell

***

Run ii
PmPr2Ir2: optimized geometry, GGA-PBE.

a b c (Å): 4.0547 13.4633 10.0734
angles (deg): 90.00 90.00 90.00
Space group Cmc2_1 (No. 36)
Asymmetric unit:
Pm: 0.0000 0.1456 0.0000 (multiplicity 4)
Pr: 0.0000 0.1412 0.3699 (multiplicity 4)
Pr: 0.0000 0.4007 0.1867 (multiplicity 4)
Ir: 0.0000 0.2545 0.6829 (multiplicity 4)
Ir: 0.0000 0.4965 0.4389 (multiplicity 4)

Values from the calculation:
* calculated density: 9.80 g cm⁻³
* magnetic moment: 0.000 Bohr magnetons per cell

***

Question: which arrangement is favored energetically? Ranking from most to least stable: run ii, run i.

***

Run i
Pm2Pr2Ir3: optimized geometry, GGA-PBE.

a b c (Å): 8.8814 8.8814 8.8814
angles (deg): 90.00 90.00 90.00
Space group I2_13 (No. 199)
Asymmetric unit:
Pm: 0.1882 0.3118 0.6882 (multiplicity 8)
Pr: 0.0637 0.0637 0.0637 (multiplicity 8)
Ir: 0.0000 0.2500 0.3845 (multiplicity 12)

Values from the calculation:
* calculated density: 10.89 g cm⁻³
* magnetic moment: 0.000 Bohr magnetons per cell

***

Run ii
Pm2Pr2Ir3: optimized geometry, GGA-PBE.

a b c (Å): 13.2781 4.2406 7.3718
angles (deg): 90.00 101.07 90.00
Space group C2/m (No. 12)
Asymmetric unit:
Pm: 0.1287 0.0000 0.4079 (multiplicity 4)
Pr: 0.1413 0.5000 0.8523 (multiplicity 4)
Ir: 0.0000 0.5000 0.5000 (multiplicity 2)
Ir: 0.2284 0.5000 0.2412 (multiplicity 4)

Values from the calculation:
* calculated density: 9.36 g cm⁻³
* magnetic moment: 0.000 Bohr magnetons per cell

***

Question: which arrangement is favored energetically? Ranking from most to least stable: run i, run ii.

***

Run i
PmPr3Ir: optimized geometry, GGA-PBE.

a b c (Å): 5.6691 5.6691 5.6691
angles (deg): 90.00 90.00 90.00
Space group Pm-3m (No. 221)
Asymmetric unit:
Pm: 0.0000 0.0000 0.0000 (multiplicity 1)
Pr: 0.0000 0.5000 0.5000 (multiplicity 3)
Ir: 0.5000 0.5000 0.5000 (multiplicity 1)

Values from the calculation:
* calculated density: 6.93 g cm⁻³
* magnetic moment: 0.761 Bohr magnetons per cell

***

Run ii
PmPr3Ir: optimized geometry, GGA-PBE.

a b c (Å): 12.2203 8.9403 8.4831
angles (deg): 90.00 133.71 90.00
Space group C2/m (No. 12)
Asymmetric unit:
Pm: 0.0516 0.0000 0.2555 (multiplicity 4)
Pr: 0.0517 0.5000 0.3436 (multiplicity 4)
Pr: 0.2480 0.1974 0.7905 (multiplicity 8)
Ir: 0.2479 0.0000 0.1289 (multiplicity 4)

Values from the calculation:
* calculated density: 7.53 g cm⁻³
* magnetic moment: 0.000 Bohr magnetons per cell

***

Question: which arrangement is favored energetically? Ranking from most to least stable: run ii, run i.

***

Run i
Pm3PrIr2: optimized geometry, GGA-PBE.

a b c (Å): 4.8330 8.9689 7.3777
angles (deg): 90.00 90.00 90.00
Space group Pmc2_1 (No. 26)
Asymmetric unit:
Pm: 0.0000 0.0863 0.0000 (multiplicity 2)
Pm: 0.0000 0.3349 0.3654 (multiplicity 2)
Pm: 0.5000 0.1612 0.6455 (multiplicity 2)
Pr: 0.5000 0.4144 0.0094 (multiplicity 2)
Ir: 0.0000 0.3311 0.7595 (multiplicity 2)
Ir: 0.5000 0.1656 0.2504 (multiplicity 2)

Values from the calculation:
* calculated density: 9.97 g cm⁻³
* magnetic moment: 0.000 Bohr magnetons per cell

***

Run ii
Pm3PrIr2: optimized geometry, GGA-PBE.

a b c (Å): 16.7418 5.3092 7.3691
angles (deg): 90.00 93.45 90.00
Space group C2/m (No. 12)
Asymmetric unit:
Pm: 0.0362 0.0000 0.2709 (multiplicity 4)
Pm: 0.1029 0.5000 0.0195 (multiplicity 4)
Pm: 0.1655 0.5000 0.4887 (multiplicity 4)
Pr: 0.1938 0.0000 0.8426 (multiplicity 4)
Ir: 0.0116 0.5000 0.6830 (multiplicity 4)
Ir: 0.2131 0.0000 0.2320 (multiplicity 4)

Values from the calculation:
* calculated density: 9.76 g cm⁻³
* magnetic moment: 0.000 Bohr magnetons per cell

***

Question: which arrangement is favored energetically? Ranking from most to least stable: run i, run ii.